<w>
Computed, not measured: crystalline ZrCd3Se at its relaxed geometry at the PBE level of DFT.

Lattice parameters (Å, degrees): 5.6296 5.6296 5.6296 90.00 90.00 90.00
Last column: nearest neighbours and their distance in Å.
Element x y z (fractional)
Zr 0.0000 0.0000 0.0000  6 Cd 2.81
Cd 0.0000 0.0000 0.5000  2 Zr 2.81
Cd 0.0000 0.5000 0.0000  2 Zr 2.81
Cd 0.5000 0.0000 0.0000  2 Zr 2.81
Se 0.5000 0.5000 0.5000  12 Cd 3.98

Summary:
D(E_F)   3.906 states/eV/f.u.
Size of the total moment   0.00 μB/cell
Calculated volume   178.4 Å³ per cell



<x>
Computed, not measured: crystalline ZrCd3Se at its relaxed geometry at the PBE level of DFT.

Lattice parameters (Å, degrees): 5.2294 5.2294 5.2294 90.00 90.00 90.00
Last column: nearest neighbours and their distance in Å.
Element x y z (fractional)
Zr 0.0000 0.0000 0.0000  12 Cd 3.70
Cd 0.0000 0.5000 0.5000  2 Se 2.61
Cd 0.5000 0.0000 0.5000  2 Se 2.61
Cd 0.5000 0.5000 0.0000  2 Se 2.61
Se 0.5000 0.5000 0.5000  6 Cd 2.61

Summary:
D(E_F)   6.228 states/eV/f.u.
Size of the total moment   1.88 μB/cell
Calculated volume   143.0 Å³ per cell



<x> comes first in stability; the runner-up is 168 meV/atom higher.



<w>
Computed, not measured: crystalline ZrCdSe3 at its relaxed geometry at the PBE level of DFT.

Lattice parameters (Å, degrees): 5.1009 5.1009 5.1009 90.00 90.00 90.00
Last column: nearest neighbours and their distance in Å.
Element x y z (fractional)
Zr 0.0000 0.0000 0.0000  12 Se 3.61
Cd 0.5000 0.5000 0.5000  6 Se 2.55
Se 0.0000 0.5000 0.5000  2 Cd 2.55
Se 0.5000 0.0000 0.5000  2 Cd 2.55
Se 0.5000 0.5000 0.0000  2 Cd 2.55

Summary:
D(E_F)   6.748 states/eV/f.u.
Size of the total moment   0.00 μB/cell
Calculated volume   132.7 Å³ per cell



<x>
Computed, not measured: crystalline ZrCdSe3 at its relaxed geometry at the PBE level of DFT.

Lattice parameters (Å, degrees): 5.2366 5.2366 5.2366 90.00 90.00 90.00
Last column: nearest neighbours and their distance in Å.
Element x y z (fractional)
Zr 0.0000 0.0000 0.0000  6 Se 2.62
Cd 0.5000 0.5000 0.5000  12 Se 3.70
Se 0.0000 0.0000 0.5000  2 Zr 2.62
Se 0.0000 0.5000 0.0000  2 Zr 2.62
Se 0.5000 0.0000 0.0000  2 Zr 2.62

Summary:
D(E_F)   2.379 states/eV/f.u.
Size of the total moment   0.00 μB/cell
Calculated volume   143.6 Å³ per cell



<x> comes first in stability; the runner-up is 835 meV/atom higher.



<w>
Computed, not measured: crystalline Cd3Si2 at its relaxed geometry at the PBE level of DFT.

Lattice parameters (Å, degrees): 10.3303 10.3303 10.3303 19.32 19.32 19.32
Last column: nearest neighbours and their distance in Å.
Element x y z (fractional)
Cd 0.0000 0.0000 0.0000  6 Si 2.80
Cd 0.2041 0.2041 0.2041  3 Si 2.81, 3 Cd 3.03
Cd 0.7959 0.7959 0.7959  3 Si 2.81, 3 Cd 3.03
Si 0.3979 0.3979 0.3979  6 Cd 2.80-2.81
Si 0.6021 0.6021 0.6021  6 Cd 2.80-2.81

Summary:
D(E_F)   3.031 states/eV/f.u.
Size of the total moment   0.00 μB/cell
Calculated volume   105.5 Å³ per cell



<x>
Computed, not measured: crystalline Cd3Si2 at its relaxed geometry at the PBE level of DFT.

Lattice parameters (Å, degrees): 4.3378 4.3378 6.8469 90.00 90.00 120.00
Last column: nearest neighbours and their distance in Å.
Element x y z (fractional)
Cd 0.0000 0.0000 0.0000  6 Si 2.88
Cd 0.3333 0.6667 0.3701  4 Si 2.74-2.90
Cd 0.6667 0.3333 0.6299  4 Si 2.74-2.90
Si 0.3333 0.6667 0.7930  7 Cd 2.74-2.90
Si 0.6667 0.3333 0.2070  7 Cd 2.74-2.90

Summary:
D(E_F)   2.422 states/eV/f.u.
Size of the total moment   0.00 μB/cell
Calculated volume   111.6 Å³ per cell



<y>
Computed, not measured: crystalline Cd3Si2 at its relaxed geometry at the PBE level of DFT.

Lattice parameters (Å, degrees): 10.7097 6.3627 12.2393 60.97 31.30 87.74
Last column: nearest neighbours and their distance in Å.
Element x y z (fractional)
Cd 0.0000 0.0000 0.0000  2 Si 2.74
Cd 0.2152 0.6688 0.5620  3 Si 2.74-2.99
Cd 0.2500 0.2500 0.2500  2 Si 2.74
Cd 0.6688 0.2152 0.5541  3 Si 2.74-2.99
Cd 0.6880 0.6959 0.0348  3 Si 2.74-2.99
Cd 0.6959 0.6880 0.5812  3 Si 2.74-2.99
Si 0.1383 0.6318 0.2899  2 Si 2.43
Si 0.3101 0.9601 0.6182  2 Si 2.43
Si 0.6318 0.1383 0.9399  2 Si 2.43
Si 0.9601 0.3101 0.1117  2 Si 2.43

Summary:
D(E_F)   1.265 states/eV/f.u.
Size of the total moment   0.00 μB/cell
Calculated volume   213.4 Å³ per cell



<y> comes first in stability; the runner-up is 121 meV/atom higher.



<w>
Computed, not measured: crystalline CdSi3 at its relaxed geometry at the PBE level of DFT.

Lattice parameters (Å, degrees): 10.1884 10.1884 10.1884 16.58 16.58 16.58
Last column: nearest neighbours and their distance in Å.
Element x y z (fractional)
Cd 0.0000 0.0000 0.0000  6 Cd 2.94
Si 0.2308 0.2308 0.2308  3 Si 2.57
Si 0.5000 0.5000 0.5000  6 Si 2.57
Si 0.7692 0.7692 0.7692  3 Si 2.57

Summary:
D(E_F)   1.837 states/eV/f.u.
Size of the total moment   0.00 μB/cell
Calculated volume   75.1 Å³ per cell



<x>
Computed, not measured: crystalline CdSi3 at its relaxed geometry at the PBE level of DFT.

Lattice parameters (Å, degrees): 5.2451 5.2451 5.2451 90.00 90.00 90.00
Last column: nearest neighbours and their distance in Å.
Element x y z (fractional)
Cd 0.0000 0.0000 0.0000  12 Si 2.93
Cd 0.5000 0.5000 0.5000  12 Si 2.93
Si 0.0000 0.2500 0.5000  2 Si 2.62, 4 Cd 2.93
Si 0.0000 0.7500 0.5000  2 Si 2.62, 4 Cd 2.93
Si 0.2500 0.5000 0.0000  2 Si 2.62, 4 Cd 2.93
Si 0.5000 0.0000 0.2500  2 Si 2.62, 4 Cd 2.93
Si 0.5000 0.0000 0.7500  2 Si 2.62, 4 Cd 2.93
Si 0.7500 0.5000 0.0000  2 Si 2.62, 4 Cd 2.93

Summary:
D(E_F)   1.857 states/eV/f.u.
Size of the total moment   0.00 μB/cell
Calculated volume   144.3 Å³ per cell



<w> comes first in stability; the runner-up is 195 meV/atom higher.



<w>
Computed, not measured: crystalline CdSi3 at its relaxed geometry at the PBE level of DFT.

Lattice parameters (Å, degrees): 5.6760 5.6760 5.6760 150.34 129.15 59.98
Last column: nearest neighbours and their distance in Å.
Element x y z (fractional)
Cd 0.0000 0.0000 0.0000  8 Si 2.84-3.15, 2 Cd 2.91
Si 0.2841 0.7841 0.5000  2 Si 2.57
Si 0.5000 0.5000 0.0000  4 Si 2.57, 4 Cd 2.84
Si 0.7159 0.2159 0.5000  2 Si 2.57

Summary:
D(E_F)   1.655 states/eV/f.u.
Size of the total moment   0.00 μB/cell
Calculated volume   69.6 Å³ per cell



<x>
Computed, not measured: crystalline CdSi3 at its relaxed geometry at the PBE level of DFT.

Lattice parameters (Å, degrees): 2.6507 3.7089 7.4585 90.00 90.08 90.00
Last column: nearest neighbours and their distance in Å.
Element x y z (fractional)
Cd 0.0000 0.0000 0.0000  2 Cd 2.65
Si 0.5000 0.0000 0.5000  6 Si 2.48-2.65
Si 0.5000 0.5000 0.2794  4 Si 2.48-2.65
Si 0.5000 0.5000 0.7206  4 Si 2.48-2.65

Summary:
D(E_F)   1.117 states/eV/f.u.
Size of the total moment   0.00 μB/cell
Calculated volume   73.3 Å³ per cell



<y>
Computed, not measured: crystalline CdSi3 at its relaxed geometry at the PBE level of DFT.

Lattice parameters (Å, degrees): 3.2421 3.2421 6.8727 90.00 90.00 90.00
Last column: nearest neighbours and their distance in Å.
Element x y z (fractional)
Cd 0.0000 0.0000 0.0000  10 Si 3.18-3.44, 4 Cd 3.24
Si 0.0000 0.0000 0.5000  8 Si 2.60
Si 0.5000 0.5000 0.3202  5 Si 2.47-2.60
Si 0.5000 0.5000 0.6798  5 Si 2.47-2.60

Summary:
D(E_F)   1.449 states/eV/f.u.
Size of the total moment   0.00 μB/cell
Calculated volume   72.2 Å³ per cell



<z>
Computed, not measured: crystalline CdSi3 at its relaxed geometry at the PBE level of DFT.

Lattice parameters (Å, degrees): 6.9176 5.6111 7.7714 90.00 90.00 90.00
Last column: nearest neighbours and their distance in Å.
Element x y z (fractional)
Cd 0.0415 0.2500 0.1303  6 Si 2.77-2.87
Cd 0.4585 0.7500 0.6303  6 Si 2.77-2.87
Cd 0.5415 0.2500 0.3697  6 Si 2.77-2.87
Cd 0.9585 0.7500 0.8697  6 Si 2.77-2.87
Si 0.1260 0.2500 0.6264  6 Si 2.51-2.64
Si 0.2018 0.5334 0.3855  4 Si 2.43-2.64
Si 0.2018 0.9666 0.3855  4 Si 2.43-2.64
Si 0.2982 0.0334 0.8855  4 Si 2.43-2.64
Si 0.2982 0.4666 0.8855  4 Si 2.43-2.64
Si 0.3740 0.7500 0.1264  6 Si 2.51-2.64
Si 0.6260 0.2500 0.8736  6 Si 2.51-2.64
Si 0.7018 0.5334 0.1145  4 Si 2.43-2.64
Si 0.7018 0.9666 0.1145  4 Si 2.43-2.64
Si 0.7982 0.0334 0.6145  4 Si 2.43-2.64
Si 0.7982 0.4666 0.6145  4 Si 2.43-2.64
Si 0.8740 0.7500 0.3736  6 Si 2.51-2.64

Summary:
D(E_F)   1.011 states/eV/f.u.
Size of the total moment   0.00 μB/cell
Calculated volume   301.7 Å³ per cell



<x> comes first in stability; the runner-up is 7 meV/atom higher.



<w>
Computed, not measured: crystalline CdSi2 at its relaxed geometry at the PBE level of DFT.

Lattice parameters (Å, degrees): 4.0550 4.0550 4.3334 90.00 90.00 120.00
Last column: nearest neighbours and their distance in Å.
Element x y z (fractional)
Cd 0.0000 0.0000 0.0000  12 Si 3.19
Si 0.3333 0.6667 0.5000  3 Si 2.34
Si 0.6667 0.3333 0.5000  3 Si 2.34

Summary:
D(E_F)   0.754 states/eV/f.u.
Size of the total moment   0.00 μB/cell
Calculated volume   61.7 Å³ per cell



<x>
Computed, not measured: crystalline CdSi2 at its relaxed geometry at the PBE level of DFT.

Lattice parameters (Å, degrees): 4.3544 4.3544 6.1978 90.00 90.00 90.00
Last column: nearest neighbours and their distance in Å.
Element x y z (fractional)
Cd 0.2500 0.2500 0.1296  1 Si 2.69
Cd 0.7500 0.7500 0.8704  1 Si 2.69
Si 0.2500 0.2500 0.6964  4 Si 2.49, 1 Cd 2.69
Si 0.2500 0.7500 0.5000  4 Si 2.49
Si 0.7500 0.2500 0.5000  4 Si 2.49
Si 0.7500 0.7500 0.3036  4 Si 2.49, 1 Cd 2.69

Summary:
D(E_F)   0.661 states/eV/f.u.
Size of the total moment   0.00 μB/cell
Calculated volume   117.5 Å³ per cell



<x> comes first in stability; the runner-up is 108 meV/atom higher.